(1)
## FePt5 (PBEsol)

Data for a relaxed FePt5 crystal.

The structure in CIF format:
```
data_FePt5
_symmetry_space_group_name_H-M 'P 1'
_symmetry_Int_Tables_number 1
_symmetry_space_group_name_Hall 'P 1'
_cell_length_a 2.7316
_cell_length_b 2.7316
_cell_length_c 11.6152
_cell_angle_alpha 90.00
_cell_angle_beta 90.00
_cell_angle_gamma 90.00
loop_
_atom_site_label
_atom_site_type_symbol
_atom_site_fract_x
_atom_site_fract_y
_atom_site_fract_z
Fe1 Fe 0.0000 0.0000 0.0000
Pt1 Pt 0.0000 0.0000 0.3285
Pt2 Pt 0.0000 0.0000 0.6715
Pt3 Pt 0.5000 0.5000 0.1526
Pt4 Pt 0.5000 0.5000 0.5000
Pt5 Pt 0.5000 0.5000 0.8474
```

Computed properties:
energy: -44.30 eV for the cell shown

(2)
## ZnBi2Se (PBEsol)

Data for a relaxed ZnBi2Se crystal.

The structure in CIF format:
```
data_ZnBi2Se
_symmetry_space_group_name_H-M 'P 1'
_symmetry_Int_Tables_number 1
_symmetry_space_group_name_Hall 'P 1'
_cell_length_a 8.2894
_cell_length_b 8.2894
_cell_length_c 8.2894
_cell_angle_alpha 136.68
_cell_angle_beta 136.68
_cell_angle_gamma 62.93
loop_
_atom_site_label
_atom_site_type_symbol
_atom_site_fract_x
_atom_site_fract_y
_atom_site_fract_z
Zn1 Zn 0.0000 0.0000 0.0000
Zn2 Zn 0.7500 0.2500 0.5000
Bi1 Bi 0.0991 0.6250 0.9741
Bi2 Bi 0.3750 0.3491 0.4741
Bi3 Bi 0.6509 0.1250 0.0259
Bi4 Bi 0.8750 0.9009 0.5259
Se1 Se 0.2500 0.7500 0.5000
Se2 Se 0.5000 0.5000 0.0000
```

Computed properties:
energy relative to the elements, uncorrected: 0.221 eV per atom

(3)
## La3Y (PBEsol)

Data for a relaxed La3Y crystal.

The structure in CIF format:
```
data_La3Y
_symmetry_space_group_name_H-M 'P 1'
_symmetry_Int_Tables_number 1
_symmetry_space_group_name_Hall 'P 1'
_cell_length_a 11.8595
_cell_length_b 11.8595
_cell_length_c 11.8595
_cell_angle_alpha 17.51
_cell_angle_beta 17.51
_cell_angle_gamma 17.51
loop_
_atom_site_label
_atom_site_type_symbol
_atom_site_fract_x
_atom_site_fract_y
_atom_site_fract_z
La1 La 0.0000 0.0000 0.0000
La2 La 0.2490 0.2490 0.2490
La3 La 0.7510 0.7510 0.7510
Y1 Y 0.5000 0.5000 0.5000
```

Computed properties:
energy: -22.82 eV for the cell shown

(4)
## MoRuW3 (PBEsol)

Data for a relaxed MoRuW3 crystal.

The structure in CIF format:
```
data_MoRuW3
_symmetry_space_group_name_H-M 'P 1'
_symmetry_Int_Tables_number 1
_symmetry_space_group_name_Hall 'P 1'
_cell_length_a 4.5734
_cell_length_b 4.5734
_cell_length_c 4.5734
_cell_angle_alpha 90.00
_cell_angle_beta 90.00
_cell_angle_gamma 90.00
loop_
_atom_site_label
_atom_site_type_symbol
_atom_site_fract_x
_atom_site_fract_y
_atom_site_fract_z
Mo1 Mo 0.0000 0.0000 0.0000
Ru1 Ru 0.5000 0.5000 0.5000
W1 W 0.0000 0.5000 0.5000
W2 W 0.5000 0.0000 0.5000
W3 W 0.5000 0.5000 0.0000
```

Computed properties:
energy: -52.65 eV for the cell shown

(5)
## Zr2AlOs (PBEsol)

Data for a relaxed Zr2AlOs crystal.

The structure in CIF format:
```
data_Zr2AlOs
_symmetry_space_group_name_H-M 'P 1'
_symmetry_Int_Tables_number 1
_symmetry_space_group_name_Hall 'P 1'
_cell_length_a 4.5970
_cell_length_b 4.5970
_cell_length_c 4.5970
_cell_angle_alpha 60.00
_cell_angle_beta 60.00
_cell_angle_gamma 60.00
loop_
_atom_site_label
_atom_site_type_symbol
_atom_site_fract_x
_atom_site_fract_y
_atom_site_fract_z
Zr1 Zr 0.0000 0.0000 0.0000
Zr2 Zr 0.2500 0.2500 0.2500
Al1 Al 0.5000 0.5000 0.5000
Os1 Os 0.7500 0.7500 0.7500
```

Computed properties:
energy: -35.55 eV for the cell shown

(6)
## Na9Ti20O40 (PBEsol)

Data for a relaxed Na9Ti20O40 crystal.

The structure in CIF format:
```
data_Na9Ti20O40
_symmetry_space_group_name_H-M 'P 1'
_symmetry_Int_Tables_number 1
_symmetry_space_group_name_Hall 'P 1'
_cell_length_a 10.5297
_cell_length_b 10.5297
_cell_length_c 10.5297
_cell_angle_alpha 99.59
_cell_angle_beta 99.59
_cell_angle_gamma 131.83
loop_
_atom_site_label
_atom_site_type_symbol
_atom_site_fract_x
_atom_site_fract_y
_atom_site_fract_z
Na1 Na 0.0000 0.0000 0.0000
Na2 Na 0.0493 0.1494 0.6986
Na3 Na 0.2005 0.6008 0.7975
Na4 Na 0.3992 0.1967 0.5997
Na5 Na 0.4508 0.3507 0.3014
Na6 Na 0.5970 0.7995 0.4003
Na7 Na 0.6493 0.9507 0.1001
Na8 Na 0.8033 0.4030 0.2025
Na9 Na 0.8506 0.5492 0.8999
Ti1 Ti 0.0229 0.0751 0.3491
Ti2 Ti 0.1263 0.3799 0.2526
Ti3 Ti 0.1263 0.8737 0.2535
Ti4 Ti 0.1272 0.8737 0.7474
Ti5 Ti 0.2242 0.6758 0.1536
Ti6 Ti 0.3222 0.4733 0.0473
Ti7 Ti 0.3242 0.4777 0.5484
Ti8 Ti 0.3262 0.9771 0.0522
Ti9 Ti 0.4259 0.2749 0.9527
Ti10 Ti 0.5208 0.0694 0.3532
Ti11 Ti 0.5223 0.0707 0.8464
Ti12 Ti 0.5267 0.5741 0.8489
Ti13 Ti 0.6201 0.8728 0.7465
Ti14 Ti 0.7162 0.1675 0.6468
Ti15 Ti 0.7251 0.6778 0.1511
Ti16 Ti 0.7260 0.6738 0.6509
Ti17 Ti 0.8325 0.4792 0.5487
Ti18 Ti 0.9249 0.2740 0.9478
Ti19 Ti 0.9293 0.7758 0.4516
Ti20 Ti 0.9306 0.2838 0.4513
O1 O 0.0532 0.7228 0.5570
O2 O 0.0793 0.2382 0.5279
O3 O 0.0852 0.2580 0.0566
O4 O 0.1076 0.7510 0.0736
O5 O 0.1418 0.0014 0.4282
O6 O 0.1658 0.4962 0.4430
O7 O 0.1703 0.5141 0.9709
O8 O 0.2014 0.0286 0.9434
O9 O 0.2490 0.3226 0.3566
O10 O 0.2772 0.8342 0.3304
O11 O 0.2865 0.8582 0.8596
O12 O 0.3080 0.3497 0.8716
O13 O 0.3416 0.5990 0.2264
O14 O 0.3641 0.0919 0.2446
O15 O 0.3726 0.1152 0.7736
O16 O 0.4010 0.6274 0.7426
O17 O 0.4486 0.9207 0.1590
O18 O 0.4781 0.4364 0.1284
O19 O 0.4859 0.4569 0.6563
O20 O 0.5038 0.9468 0.6696
O21 O 0.5431 0.1994 0.0291
O22 O 0.5636 0.6920 0.0417
O23 O 0.5732 0.7135 0.5718
O24 O 0.6021 0.2304 0.5429
O25 O 0.6503 0.5219 0.9583
O26 O 0.6774 0.0340 0.9264
O27 O 0.6875 0.0592 0.4571
O28 O 0.7104 0.5514 0.4721
O29 O 0.7420 0.7986 0.8272
O30 O 0.7618 0.2896 0.8410
O31 O 0.7696 0.3125 0.3718
O32 O 0.8006 0.8297 0.3437
O33 O 0.8473 0.1195 0.7554
O34 O 0.8805 0.6359 0.7278
O35 O 0.8848 0.6584 0.2574
O36 O 0.9081 0.1527 0.2722
O37 O 0.9408 0.3979 0.6282
O38 O 0.9660 0.8924 0.6434
O39 O 0.9714 0.9148 0.1728
O40 O 0.9986 0.4268 0.1404
```

Computed properties:
energy relative to the elements, uncorrected: -2.781 eV per atom

(7)
## CrPO5 (PBEsol)

Data for a relaxed CrPO5 crystal.

The structure in CIF format:
```
data_CrPO5
_symmetry_space_group_name_H-M 'P 1'
_symmetry_Int_Tables_number 1
_symmetry_space_group_name_Hall 'P 1'
_cell_length_a 5.8474
_cell_length_b 5.8474
_cell_length_c 4.8663
_cell_angle_alpha 90.00
_cell_angle_beta 90.00
_cell_angle_gamma 90.00
loop_
_atom_site_label
_atom_site_type_symbol
_atom_site_fract_x
_atom_site_fract_y
_atom_site_fract_z
Cr1 Cr 0.2500 0.2500 0.2217
Cr2 Cr 0.7500 0.7500 0.7783
P1 P 0.2500 0.7500 0.5000
P2 P 0.7500 0.2500 0.5000
O1 O 0.0488 0.8216 0.6852
O2 O 0.1784 0.5488 0.3148
O3 O 0.2500 0.2500 0.9029
O4 O 0.3216 0.9512 0.3148
O5 O 0.4512 0.6784 0.6852
O6 O 0.5488 0.3216 0.3148
O7 O 0.6784 0.0488 0.6852
O8 O 0.7500 0.7500 0.0971
O9 O 0.8216 0.4512 0.6852
O10 O 0.9512 0.1784 0.3148
```

Computed properties:
energy relative to the elements, uncorrected: -1.928 eV per atom
energy relative to the lowest polymorph listed for this composition: 0.0 kJ/mol of atoms

(8)
## YSc2Ta (PBEsol)

Data for a relaxed YSc2Ta crystal.

The structure in CIF format:
```
data_YSc2Ta
_symmetry_space_group_name_H-M 'P 1'
_symmetry_Int_Tables_number 1
_symmetry_space_group_name_Hall 'P 1'
_cell_length_a 5.3651
_cell_length_b 5.3651
_cell_length_c 5.7618
_cell_angle_alpha 97.06
_cell_angle_beta 97.06
_cell_angle_gamma 33.38
loop_
_atom_site_label
_atom_site_type_symbol
_atom_site_fract_x
_atom_site_fract_y
_atom_site_fract_z
Y1 Y 0.0000 0.0000 0.0000
Sc1 Sc 0.2394 0.2394 0.7215
Sc2 Sc 0.7606 0.7606 0.2785
Ta1 Ta 0.5000 0.5000 0.5000
```

Computed properties:
energy relative to the lowest polymorph listed for this composition: 1.8 kJ/mol of atoms

(9)
## Cu2TePt (PBEsol)

Data for a relaxed Cu2TePt crystal.

The structure in CIF format:
```
data_Cu2TePt
_symmetry_space_group_name_H-M 'P 1'
_symmetry_Int_Tables_number 1
_symmetry_space_group_name_Hall 'P 1'
_cell_length_a 2.8626
_cell_length_b 3.4984
_cell_length_c 6.5830
_cell_angle_alpha 90.00
_cell_angle_beta 90.00
_cell_angle_gamma 90.00
loop_
_atom_site_label
_atom_site_type_symbol
_atom_site_fract_x
_atom_site_fract_y
_atom_site_fract_z
Cu1 Cu 0.0000 0.0000 0.1957
Cu2 Cu 0.0000 0.0000 0.8043
Te1 Te 0.0000 0.5000 0.5000
Pt1 Pt 0.5000 0.5000 0.0000
```

Computed properties:
energy relative to the elements, uncorrected: 0.097 eV per atom

(10)
## TaHg2Au (PBEsol)

Data for a relaxed TaHg2Au crystal.

The structure in CIF format:
```
data_TaHg2Au
_symmetry_space_group_name_H-M 'P 1'
_symmetry_Int_Tables_number 1
_symmetry_space_group_name_Hall 'P 1'
_cell_length_a 5.8305
_cell_length_b 5.8305
_cell_length_c 5.8305
_cell_angle_alpha 151.08
_cell_angle_beta 127.24
_cell_angle_gamma 61.28
loop_
_atom_site_label
_atom_site_type_symbol
_atom_site_fract_x
_atom_site_fract_y
_atom_site_fract_z
Ta1 Ta 0.0000 0.0000 0.0000
Hg1 Hg 0.2503 0.7503 0.5000
Hg2 Hg 0.7497 0.2497 0.5000
Au1 Au 0.5000 0.5000 0.0000
```

Computed properties:
energy relative to the lowest polymorph listed for this composition: 16.1 kJ/mol of atoms

(11)
## ScNb3Ga (PBEsol)

Data for a relaxed ScNb3Ga crystal.

The structure in CIF format:
```
data_ScNb3Ga
_symmetry_space_group_name_H-M 'P 1'
_symmetry_Int_Tables_number 1
_symmetry_space_group_name_Hall 'P 1'
_cell_length_a 4.7629
_cell_length_b 4.7629
_cell_length_c 4.7629
_cell_angle_alpha 90.00
_cell_angle_beta 90.00
_cell_angle_gamma 90.00
loop_
_atom_site_label
_atom_site_type_symbol
_atom_site_fract_x
_atom_site_fract_y
_atom_site_fract_z
Sc1 Sc 0.0000 0.0000 0.0000
Nb1 Nb 0.0000 0.5000 0.5000
Nb2 Nb 0.5000 0.0000 0.5000
Nb3 Nb 0.5000 0.5000 0.0000
Ga1 Ga 0.5000 0.5000 0.5000
```

Computed properties:
energy: -38.01 eV for the cell shown